A:
Entry from the Alexandria database: a relaxed Zr2Ag3 crystal (PBE).

Cell lengths 10.9163, 10.9163, 10.9163 Å; angles 164.04, 164.04, 22.65 degrees
Last column: nearest neighbours and their distance in Å.
Fractional positions:
Zr 0.1005 0.1005 0.0000  4 Zr 3.03, 8 Ag 3.04-3.07
Zr 0.8995 0.8995 0.0000  4 Zr 3.03, 8 Ag 3.04-3.07
Ag 0.2971 0.2971 0.0000  8 Ag 2.94-3.03, 4 Zr 3.07
Ag 0.5000 0.5000 0.0000  4 Ag 3.03, 8 Zr 3.04
Ag 0.7029 0.7029 0.0000  8 Ag 2.94-3.03, 4 Zr 3.07

B:
Entry from the Alexandria database: a relaxed Zr2Ag3 crystal (PBE).

Cell lengths 12.5039, 12.5039, 12.5039 Å; angles 14.01, 14.01, 14.01 degrees
Last column: nearest neighbours and their distance in Å.
Fractional positions:
Zr 0.0983 0.0983 0.0983  6 Ag 3.04-3.09, 6 Zr 3.05
Zr 0.9017 0.9017 0.9017  6 Ag 3.04-3.09, 6 Zr 3.05
Ag 0.3018 0.3018 0.3018  9 Ag 2.93-3.05, 3 Zr 3.04
Ag 0.5000 0.5000 0.5000  6 Ag 3.05, 6 Zr 3.09
Ag 0.6982 0.6982 0.6982  9 Ag 2.93-3.05, 3 Zr 3.04

C:
Entry from the Alexandria database: a relaxed Zr2Ag3 crystal (PBE).

Cell lengths 10.8641, 10.8641, 10.8641 Å; angles 163.74, 163.74, 23.07 degrees
Last column: nearest neighbours and their distance in Å.
Fractional positions:
Zr 0.1973 0.1973 0.0000  8 Zr 3.07-3.12, 4 Ag 3.11
Zr 0.8027 0.8027 0.0000  8 Zr 3.07-3.12, 4 Ag 3.11
Ag 0.0000 0.0000 0.0000  12 Ag 2.94-3.07
Ag 0.4072 0.4072 0.0000  8 Ag 2.94-3.07, 4 Zr 3.11
Ag 0.5928 0.5928 0.0000  8 Ag 2.94-3.07, 4 Zr 3.11

So which one is most stable? That would be C, about 43 meV per atom below the next structure.

A:
Entry from the Alexandria database: a relaxed Zr2Ag3 crystal (PBE).

Cell lengths 4.6265, 4.6265, 6.1340 Å; angles 90.00, 90.00, 120.00 degrees
Last column: nearest neighbours and their distance in Å.
Fractional positions:
Zr 0.3333 0.6667 0.3341  7 Ag 2.86-2.93
Zr 0.6667 0.3333 0.6659  7 Ag 2.86-2.93
Ag 0.0000 0.0000 0.5000  6 Zr 2.86
Ag 0.3333 0.6667 0.8614  5 Zr 2.90-3.23, 3 Ag 3.17
Ag 0.6667 0.3333 0.1386  5 Zr 2.90-3.23, 3 Ag 3.17

B:
Entry from the Alexandria database: a relaxed Zr2Ag3 crystal (PBE).

Cell lengths 7.7794, 5.6531, 8.7299 Å; angles 61.13, 39.52, 79.34 degrees
Last column: nearest neighbours and their distance in Å.
Fractional positions:
Zr 0.1361 0.8639 0.2527  9 Ag 2.90-3.19
Zr 0.5027 0.9973 0.3861  9 Ag 2.90-3.19
Zr 0.8639 0.1361 0.7473  9 Ag 2.90-3.19
Zr 0.9973 0.5027 0.1139  9 Ag 2.90-3.19
Ag 0.1299 0.1299 0.8701  4 Ag 2.83, 4 Zr 2.97
Ag 0.3799 0.3799 0.1201  4 Ag 2.83, 4 Zr 2.97
Ag 0.4651 0.5752 0.3077  4 Ag 2.83-2.85, 5 Zr 2.90-3.07
Ag 0.5752 0.4651 0.6519  4 Ag 2.83-2.85, 5 Zr 2.90-3.07
Ag 0.5981 0.9423 0.6748  4 Ag 2.83-2.85, 5 Zr 2.90-3.07
Ag 0.9423 0.5981 0.7849  4 Ag 2.83-2.85, 5 Zr 2.90-3.07

So which one is most stable? That would be B, about 193 meV per atom below the next structure.

A:
Entry from the Alexandria database: a relaxed Zr2Ag3 crystal (PBE).

Cell lengths 12.7468, 12.7468, 12.7468 Å; angles 13.63, 13.63, 13.63 degrees
Last column: nearest neighbours and their distance in Å.
Fractional positions:
Zr 0.2046 0.2046 0.2046  9 Zr 3.03-3.36, 3 Ag 3.07
Zr 0.7954 0.7954 0.7954  9 Zr 3.03-3.36, 3 Ag 3.07
Ag 0.0000 0.0000 0.0000  12 Ag 2.93-3.03
Ag 0.3955 0.3955 0.3955  9 Ag 2.93-3.03, 3 Zr 3.07
Ag 0.6045 0.6045 0.6045  9 Ag 2.93-3.03, 3 Zr 3.07

B:
Entry from the Alexandria database: a relaxed Zr2Ag3 crystal (PBE).

Cell lengths 8.1285, 8.1285, 8.1285 Å; angles 159.14, 149.29, 37.41 degrees
Last column: nearest neighbours and their distance in Å.
Fractional positions:
Zr 0.1039 0.1039 0.0000  3 Zr 2.94-3.20, 9 Ag 2.98-3.06
Zr 0.8961 0.8961 0.0000  3 Zr 2.94-3.20, 9 Ag 2.98-3.06
Ag 0.2976 0.2976 0.0000  7 Ag 2.94-3.12, 5 Zr 2.98-3.02
Ag 0.5000 0.5000 0.0000  4 Ag 2.94-3.12, 8 Zr 3.06
Ag 0.7024 0.7024 0.0000  7 Ag 2.94-3.12, 5 Zr 2.98-3.02

C:
Entry from the Alexandria database: a relaxed Zr2Ag3 crystal (PBE).

Cell lengths 5.2810, 5.2810, 7.3461 Å; angles 122.31, 122.31, 36.12 degrees
Last column: nearest neighbours and their distance in Å.
Fractional positions:
Zr 0.1971 0.1971 0.2926  8 Ag 2.98-3.10, 4 Zr 3.07-3.27
Zr 0.8029 0.8029 0.7074  8 Ag 2.98-3.10, 4 Zr 3.07-3.27
Ag 0.0000 0.0000 0.5000  6 Ag 2.95-3.27, 6 Zr 3.01-3.10
Ag 0.3996 0.3996 0.1088  7 Ag 2.95-3.27, 5 Zr 2.98-3.02
Ag 0.6004 0.6004 0.8912  7 Ag 2.95-3.27, 5 Zr 2.98-3.02

So which one is most stable? That would be B, about 20 meV per atom below the next structure.